Compound: CeTmSc4
Source: Alexandria
Functional: GGA-PBE
Structure: optimized geometry

Unit cell a=5.9850 b=5.8242 c=9.7270 alpha=91.09 beta=107.92 gamma=90.00
Positions (direct):
Sc (0.9879, 0.4926, 0.3062)
Sc (0.0121, 0.5074, 0.6938)
Sc (0.6813, 0.9201, 0.1466)
Sc (0.3187, 0.0799, 0.8534)
Sc (0.4653, 0.4201, 0.1466)
Sc (0.3183, 0.9926, 0.3062)
Sc (0.5347, 0.5799, 0.8534)
Sc (0.6817, 0.0074, 0.6938)
Ce (0.0000, 0.0000, 0.5000)
Ce (0.5000, 0.5000, 0.5000)
Tm (0.0746, 0.7500, 0.0000)
Tm (0.9254, 0.2500, 0.0000)

Properties
E_form: 0.19 eV/atom
density: 5.03 g/cm3
M_tot: 1.545 Bohr magnetons per cell
energy relative to the lowest polymorph listed for this composition: 133.9 meV per atom
V: 322.6 Å³/cell


Compound: EuSn2P
Source: Alexandria
Functional: GGA-PBE
Structure: optimized geometry

Unit cell a=3.7454 b=3.7454 c=10.1724 alpha=79.39 beta=79.39 gamma=60.00
Positions (direct):
Sn (0.8902, 0.8902, 0.3295)
Sn (0.1098, 0.1098, 0.6705)
P (0.5000, 0.5000, 0.5000)
Eu (0.0000, 0.0000, 0.0000)

Properties
E_form: 0.03 eV/atom
density: 5.78 g/cm3
M_tot: 7.707 Bohr magnetons per cell
V: 120.8 Å³/cell


Compound: YVZnAg2
Source: Alexandria
Functional: GGA-PBE
Structure: optimized geometry

Unit cell a=4.9454 b=4.7766 c=4.9454 alpha=90.00 beta=90.00 gamma=90.00
Positions (direct):
V (0.0000, 0.0000, 0.0000)
Zn (0.0000, 0.5000, 0.0000)
Ag (0.0000, 0.0000, 0.5000)
Ag (0.5000, 0.0000, 0.0000)
Y (0.5000, 0.5000, 0.5000)

Properties
E_form: 0.55 eV/atom
density: 5.98 g/cm3
M_tot: 3.065 Bohr magnetons per cell
energy relative to the lowest polymorph listed for this composition: 125.8 meV per atom
V: 116.8 Å³/cell


Compound: Mg2VN
Source: Alexandria
Functional: GGA-PBE
Structure: optimized geometry

Unit cell a=8.2495 b=8.2495 c=6.1481 alpha=47.86 beta=47.86 gamma=90.00
Positions (direct):
N (0.5000, 0.5000, 0.0000)
N (0.2500, 0.7500, 0.5000)
V (0.7500, 0.2500, 0.5000)
V (0.0000, 0.0000, 0.0000)
Mg (0.8750, 0.7366, 0.7500)
Mg (0.2634, 0.6250, 0.2500)
Mg (0.4866, 0.1250, 0.2500)
Mg (0.3750, 0.5134, 0.7500)

Properties
density: 2.85 g/cm3
M_tot: 4.544 Bohr magnetons per cell
raw formation energy: -0.02 eV per atom
V: 132.2 Å³/cell


Compound: ZnNiOs2
Source: Alexandria
Functional: GGA-PBE
Structure: optimized geometry

Unit cell a=4.2501 b=4.2501 c=4.2501 alpha=60.00 beta=60.00 gamma=60.00
Positions (direct):
Zn (0.2500, 0.2500, 0.2500)
Os (0.0000, 0.0000, 0.0000)
Os (0.7500, 0.7500, 0.7500)
Ni (0.5000, 0.5000, 0.5000)

Properties
E_form: 0.30 eV/atom
density: 15.43 g/cm3
M_tot: 0.000 Bohr magnetons per cell
V: 54.3 Å³/cell


Compound: Ti4V2Ga3
Source: Alexandria
Functional: GGA-PBE
Structure: optimized geometry

Unit cell a=3.5553 b=6.5387 c=6.5902 alpha=108.96 beta=105.65 gamma=90.00
Positions (direct):
Ti (0.2184, 0.3220, 0.4368)
Ti (0.4501, 0.6719, 0.9002)
Ti (0.5499, 0.3281, 0.0998)
Ti (0.7816, 0.6780, 0.5632)
Ga (0.1209, 0.6686, 0.2418)
Ga (0.8791, 0.3314, 0.7582)
Ga (0.0000, 0.0000, 0.0000)
V (0.6694, 0.9949, 0.3387)
V (0.3306, 0.0051, 0.6613)

Properties
E_form: -0.28 eV/atom
density: 6.01 g/cm3
M_tot: 0.000 Bohr magnetons per cell
V: 138.9 Å³/cell


Compound: NaTlCdPb
Source: Alexandria
Functional: GGA-PBE
Structure: optimized geometry

Unit cell a=4.6825 b=4.7046 c=6.0283 alpha=112.97 beta=112.85 gamma=90.00
Positions (direct):
Na (0.6952, 0.1952, 0.3903)
Cd (0.9451, 0.9451, 0.8902)
Pb (0.4459, 0.4459, 0.8918)
Tl (0.1960, 0.6960, 0.3921)

Properties
E_form: -0.08 eV/atom
density: 8.19 g/cm3
M_tot: 0.000 Bohr magnetons per cell
energy relative to the lowest polymorph listed for this composition: 3.5 meV per atom
V: 110.9 Å³/cell


Compound: SrAcLa
Source: Alexandria
Functional: GGA-PBE
Structure: optimized geometry

Unit cell a=3.9749 b=3.9749 c=8.9484 alpha=102.83 beta=102.83 gamma=90.00
Positions (direct):
La (0.3239, 0.3239, 0.6478)
Sr (0.9978, 0.9978, 0.9955)
Ac (0.6783, 0.6783, 0.3566)

Properties
E_form: 0.05 eV/atom
density: 5.61 g/cm3
M_tot: 0.000 Bohr magnetons per cell
energy relative to the lowest polymorph listed for this composition: 14.7 meV per atom
V: 134.2 Å³/cell


Question: What is the density in the first record?
Answer: 5.03 g/cm3


Question: Look up the density of the fourth one.
Answer: 2.85 g/cm3


Question: M_tot of number 1 (CeTmSc4)?
Answer: 1.545 Bohr magnetons per cell